(1)
VASP calculation (PBE) on a geometry-optimized SbMoCl structure.

## Properties
- relative energy among the computed polymorphs (eV per atom) = 0.453
- symmetry = No. 216
- formation energy without anion corrections (eV per formula unit) = 1.00
- E_tot (eV per formula unit) = -15.8

Cell: 4.643 4.643 4.643 Å, 60.00 60.00 60.00°
Site moments in Bohr magnetons follow the coordinates.
Atoms (fractional coordinates):
Sb 0.000 0.000 0.000  -0.14
Cl 0.500 0.500 0.500  -0.03
Mo 0.250 0.250 0.250  1.97

---

(2)
VASP calculation (PBE) on a geometry-optimized SbMoCl structure.

## Properties
- relative energy among the computed polymorphs (eV per atom) = 0.243
- symmetry = No. 42
- formation energy without anion corrections (eV per formula unit) = 0.37
- E_tot (eV per formula unit) = -16.4

Cell: 8.829 8.490 3.235 Å, 85.21 73.38 21.42°
Site moments in Bohr magnetons follow the coordinates.
Atoms (fractional coordinates):
Sb 0.301 0.301 0.699  -0.01
Mo 0.656 0.656 0.344  0.74
Cl 0.043 0.043 0.957  0.02

---

(3)
VASP calculation (PBE) on a geometry-optimized SbMoCl structure.

## Properties
- relative energy among the computed polymorphs (eV per atom) = 0.172
- symmetry = No. 107
- formation energy without anion corrections (eV per formula unit) = 0.16
- E_tot (eV per formula unit) = -16.6

Cell: 7.567 7.567 7.567 Å, 156.17 156.17 33.96°
Atoms (fractional coordinates):
Mo 0.342 0.342 0.000
Cl 0.945 0.945 0.000
Sb 0.713 0.713 0.000

---

(4)
VASP calculation (PBE) on a geometry-optimized SbMoCl structure.

## Properties
- relative energy among the computed polymorphs (eV per atom) = 1.070
- symmetry = No. 216
- formation energy without anion corrections (eV per formula unit) = 2.86
- E_tot (eV per formula unit) = -13.9

Cell: 4.776 4.776 4.776 Å, 60.00 60.00 60.00°
Site moments in Bohr magnetons follow the coordinates.
Atoms (fractional coordinates):
Sb 0.250 0.250 0.250  -0.18
Mo 0.500 0.500 0.500  2.00
Cl 0.000 0.000 0.000  -0.02

---

(5)
VASP calculation (PBE) on a geometry-optimized SbMo3Cl structure.

## Properties
- relative energy among the computed polymorphs (eV per atom) = 1.203
- symmetry = No. 221
- formation energy without anion corrections (eV per formula unit) = 11.20
- E_tot (eV per formula unit) = -27.3

Cell: 5.011 5.011 5.011 Å, 90.00 90.00 90.00°
Site moments in Bohr magnetons follow the coordinates.
Atoms (fractional coordinates):
Sb 0.000 0.000 0.000  -0.01
Mo 0.000 0.000 0.500  0.39
Mo 0.500 0.000 0.000  0.56
Mo 0.000 0.500 0.000  0.40
Cl 0.500 0.500 0.500  0.04

---

(6)
VASP calculation (PBE) on a geometry-optimized SbMoCl structure.

## Properties
- relative energy among the computed polymorphs (eV per atom) = 0.000
- symmetry = No. 156
- formation energy without anion corrections (eV per formula unit) = -0.35
- E_tot (eV per formula unit) = -17.2

Cell: 3.265 3.265 7.783 Å, 90.00 90.00 120.00°
Atoms (fractional coordinates):
Mo 0.667 0.333 0.313
Cl 0.000 0.000 0.106
Sb 0.333 0.667 0.582

---

(7)
VASP calculation (PBE) on a geometry-optimized Sb3MoCl structure.

## Properties
- relative energy among the computed polymorphs (eV per atom) = 0.000
- symmetry = No. 221
- formation energy without anion corrections (eV per formula unit) = 0.97
- E_tot (eV per formula unit) = -24.1

Cell: 5.220 5.220 5.220 Å, 90.00 90.00 90.00°
Atoms (fractional coordinates):
Sb 0.000 0.500 0.000
Mo 0.000 0.000 0.000
Sb 0.500 0.000 0.000
Sb 0.000 0.000 0.500
Cl 0.500 0.500 0.500

---

(8)
VASP calculation (PBE) on a geometry-optimized SbMoCl structure.

## Properties
- relative energy among the computed polymorphs (eV per atom) = 0.471
- symmetry = No. 187
- formation energy without anion corrections (eV per formula unit) = 1.06
- E_tot (eV per formula unit) = -15.7

Cell: 4.569 4.569 3.235 Å, 90.00 90.00 120.00°
Site moments in Bohr magnetons follow the coordinates.
Atoms (fractional coordinates):
Cl 0.000 0.000 0.167  0.02
Mo 0.333 0.667 0.167  1.71
Sb 0.667 0.333 0.667  -0.08

---

Repeat the first record exactly.
VASP calculation (PBE) on a geometry-optimized SbMoCl structure.

## Properties
- relative energy among the computed polymorphs (eV per atom) = 0.453
- symmetry = No. 216
- formation energy without anion corrections (eV per formula unit) = 1.00
- E_tot (eV per formula unit) = -15.8

Cell: 4.643 4.643 4.643 Å, 60.00 60.00 60.00°
Site moments in Bohr magnetons follow the coordinates.
Atoms (fractional coordinates):
Sb 0.000 0.000 0.000  -0.14
Cl 0.500 0.500 0.500  -0.03
Mo 0.250 0.250 0.250  1.97

---

Number 4 is which compound? SbMoCl

---

formation energy without anion corrections of number 3 (SbMoCl)? 0.16 eV per formula unit